[1]
Density functional theory data (PBE-GGA) for crystalline HfZnAu at its relaxed geometry.

Calculated values
ρ, g/cm³: 13.43
DFT formation energy, eV per atom: -0.238
Energy, eV per atom: -5.066
Symmetry: P4/nmm (129)
Magnetization, μB/cell: 0.00

POSCAR file:
```
HfZnAu
1.0
3.354 0.000 0.000
0.000 3.354 0.000
0.000 0.000 9.696
Au Hf Zn
2 2 2
Direct
0.000 0.500 0.086
0.500 0.000 0.914
0.500 0.000 0.245
0.000 0.500 0.755
0.000 0.500 0.433
0.500 0.000 0.567
```

[2]
Density functional theory data (PBE-GGA) for crystalline Hf3ZrAu2 at its relaxed geometry.

Calculated values
ρ, g/cm³: 13.71
DFT formation energy, eV per atom: -0.436
Energy, eV per atom: -7.927
Symmetry: P4mm (99)
Magnetization, μB/cell: 0.00

POSCAR file:
```
Hf3ZrAu2
1.0
3.263 0.000 0.000
0.000 3.263 0.000
0.000 0.000 11.606
Au Hf Zr
2 3 1
Direct
0.500 0.500 0.500
0.000 0.000 0.994
0.000 0.000 0.341
0.000 0.000 0.663
0.500 0.500 0.838
0.500 0.500 0.164
```

[3]
Density functional theory data (PBE-GGA) for crystalline Hf2ZrAu at its relaxed geometry.

Calculated values
ρ, g/cm³: 13.17
DFT formation energy, eV per atom: -0.079
Energy, eV per atom: -8.010
Symmetry: F-43m (216)
Magnetization, μB/cell: 0.05

POSCAR file:
```
Hf2ZrAu
1.0
-0.112 -4.106 2.604
-2.812 -0.294 3.958
-3.976 -2.801 -0.045
Au Hf Zr
1 2 1
Direct
0.250 0.250 0.250
0.000 0.000 0.000
0.750 0.750 0.750
0.500 0.500 0.500
```

[4]
Density functional theory data (PBE-GGA) for crystalline Hf2Zr3Au2 at its relaxed geometry.

Calculated values
ρ, g/cm³: 11.80
DFT formation energy, eV per atom: -0.246
Energy, eV per atom: -7.687
Symmetry: R3m (160)
Magnetization, μB/cell: 0.06

POSCAR file:
```
Hf2Zr3Au2
1.0
7.063 -2.832 -0.417
7.064 0.853 2.732
5.401 -3.494 4.087
Au Hf Zr
2 2 3
Direct
0.048 0.048 0.048
0.489 0.489 0.489
0.191 0.191 0.191
0.768 0.768 0.768
0.343 0.343 0.343
0.623 0.623 0.623
0.913 0.913 0.913
```

[5]
Density functional theory data (PBE-GGA) for crystalline Hf3Zr2Au2 at its relaxed geometry.

Calculated values
ρ, g/cm³: 12.78
DFT formation energy, eV per atom: -0.238
Energy, eV per atom: -7.880
Symmetry: R3m (160)
Magnetization, μB/cell: 0.02

POSCAR file:
```
Hf3Zr2Au2
1.0
5.856 3.551 -3.136
5.755 4.573 1.642
7.526 0.288 0.097
Au Hf Zr
2 3 2
Direct
0.047 0.047 0.047
0.487 0.487 0.487
0.343 0.343 0.343
0.619 0.619 0.619
0.917 0.917 0.917
0.195 0.195 0.195
0.768 0.768 0.768
```

[6]
Density functional theory data (PBE-GGA) for crystalline HfZrAu at its relaxed geometry.

Calculated values
ρ, g/cm³: 11.00
Energy above the lowest structure with this stoichiometry, meV/atom: 450
DFT formation energy, eV per atom: 0.014
Energy, eV per atom: -7.242
Symmetry: F-43m (216)
Magnetization, μB/cell: 0.50

POSCAR file:
```
HfZrAu
1.0
0.000 3.278 3.278
3.278 0.000 3.278
3.278 3.278 0.000
Au Hf Zr
1 1 1
Direct
0.000 0.000 0.000
0.250 0.250 0.250
0.750 0.750 0.750
```

[7]
Density functional theory data (PBE-GGA) for crystalline Hf2Zr2Au at its relaxed geometry.

Calculated values
ρ, g/cm³: 10.80
DFT formation energy, eV per atom: 0.501
Energy, eV per atom: -7.553
Symmetry: I4/mmm (139)
Magnetization, μB/cell: 0.01

POSCAR file:
```
Hf2Zr2Au
1.0
-1.989 1.989 7.151
1.989 -1.989 7.151
1.989 1.989 -7.151
Au Hf Zr
1 2 2
Direct
0.000 0.000 0.000
0.408 0.408 0.000
0.592 0.592 0.000
0.750 0.250 0.500
0.250 0.750 0.500
```

[8]
Density functional theory data (PBE-GGA) for crystalline HfZrAu at its relaxed geometry.

Calculated values
ρ, g/cm³: 12.42
Energy above the lowest structure with this stoichiometry, meV/atom: 6
DFT formation energy, eV per atom: -0.430
Energy, eV per atom: -7.686
Symmetry: P4/mmm (123)
Magnetization, μB/cell: 0.01

POSCAR file:
```
HfZrAu
1.0
3.276 0.000 0.000
0.000 3.276 0.000
0.000 0.000 11.626
Au Hf Zr
2 2 2
Direct
0.000 0.000 0.000
0.500 0.500 0.500
0.000 0.000 0.340
0.000 0.000 0.660
0.500 0.500 0.163
0.500 0.500 0.837
```